Sr5Li3 | Alexandria | SCAN | PBEsol geometry; formation energy from the elements = 25 meV per atom
1.0
-6.8259 6.8259 3.5157
6.8259 -6.8259 3.5157
6.8259 6.8259 -3.5157
Sr Li
10 6
Direct
0.0790 0.7837 0.8627 Sr
0.2163 0.0790 0.2953 Sr
0.2500 0.7500 0.5000 Sr
0.2837 0.5790 0.8627 Sr
0.4210 0.2837 0.7047 Sr
0.5790 0.7163 0.2953 Sr
0.7163 0.4210 0.1373 Sr
0.7500 0.2500 0.5000 Sr
0.7837 0.9210 0.7047 Sr
0.9210 0.2163 0.1373 Sr
0.1630 0.3370 0.5000 Li
0.2500 0.2500 0.0000 Li
0.3370 0.8370 0.1741 Li
0.6630 0.1630 0.8259 Li
0.7500 0.7500 0.0000 Li
0.8370 0.6630 0.5000 Li